No. 1
Here is a geometry-optimized RbMg structure from the Alexandria database. Energies are from PBE.

It has space group Fddd (No. 70, origin choice 2), with a = 7.167 Å, b = 11.206 Å, c = 19.311 Å, α = 90.00°, β = 90.00° and γ = 90.00°. Symmetry generates all atoms from Rb at (0.125, 0.293, 0.125) and Mg at (0.125, 0.125, 0.544).

Its formation energy is 266 meV/atom. The value obtained for the total energy is -0.075 Ry/atom.

---

No. 2
Here is a geometry-optimized TbPuTeS structure from the Alexandria database. Energies are from PBE.

It has space group R3m (No. 160, hexagonal axes), with a = 4.0977 Å, b = 4.0977 Å, c = 21.1401 Å, α = 90.00°, β = 90.00° and γ = 120.00°. Symmetry generates all atoms from Tb at (0.0000, 0.0000, 0.0000), Pu at (0.0000, 0.0000, 0.4742), Te at (0.0000, 0.0000, 0.2384) and S at (0.0000, 0.0000, 0.7363).

Its uncorrected formation energy is -1.55 eV per atom. The value obtained for the total energy is -0.596 Ry/atom.

---

No. 3
Here is a geometry-optimized LiNbHg structure from the Alexandria database. Energies are from PBE.

It has space group P1 (No. 1), with a = 3.035 Å, b = 5.130 Å, c = 7.680 Å, α = 74.31°, β = 88.26° and γ = 73.53°. Symmetry generates all atoms from Li at (0.000, 0.000, 0.000), Li at (0.329, 0.361, 0.683), Nb at (0.023, 0.117, 0.413), Nb at (0.608, 0.677, 0.346), Hg at (0.317, 0.426, 0.073) and Hg at (0.628, 0.793, 0.735).

Its formation energy is 75 meV/atom. Its energy above the lowest structure with this stoichiometry is 0.0875 eV/atom. The value obtained for the total energy is -0.295 Ry/atom.

---

No. 4
Here is a geometry-optimized Mg2OsPb structure from the Alexandria database. Energies are from PBE.

It has space group Cmmm (No. 65), with a = 3.489 Å, b = 4.977 Å, c = 9.443 Å, α = 90.00°, β = 90.00° and γ = 90.00°. Symmetry generates all atoms from Mg at (0.000, 0.000, 0.207), Os at (0.000, 0.500, 0.000) and Pb at (0.000, 0.500, 0.500).

Its formation energy is 356 meV/atom. The value obtained for the total energy is -0.307 Ry/atom.

---

No. 5
Here is a geometry-optimized BaTlSi2Pt structure from the Alexandria database. Energies are from PBE.

It has space group P4/mmm (No. 123), with a = 4.831 Å, b = 4.831 Å, c = 6.001 Å, α = 90.00°, β = 90.00° and γ = 90.00°. Symmetry generates all atoms from Ba at (0.000, 0.000, 0.000), Tl at (0.500, 0.500, 0.000), Si at (0.000, 0.500, 0.500) and Pt at (0.000, 0.000, 0.500).

Its uncorrected formation energy is 0.03 eV per atom. The value obtained for the total energy is -0.309 Ry/atom.

---

No. 6
Here is a geometry-optimized TmPd2Pt structure from the Alexandria database. Energies are from PBE.

It has space group Fm-3m (No. 225), with a = 6.552 Å, b = 6.552 Å, c = 6.552 Å, α = 90.00°, β = 90.00° and γ = 90.00°. Symmetry generates all atoms from Tm at (0.000, 0.000, 0.000), Pd at (0.250, 0.250, 0.250) and Pt at (0.000, 0.000, 0.500).

Its formation energy is -789 meV/atom. Its energy above the lowest structure with this stoichiometry is 0.1819 eV/atom. The value obtained for the total energy is -0.442 Ry/atom.

---

No. 7
Here is a geometry-optimized CeSmPa structure from the Alexandria database. Energies are from PBE.

It has space group P-6m2 (No. 187), with a = 5.4107 Å, b = 5.4107 Å, c = 3.3024 Å, α = 90.00°, β = 90.00° and γ = 120.00°. Symmetry generates all atoms from Ce at (0.0000, 0.0000, 0.0000), Sm at (0.3333, 0.6667, 0.5000) and Pa at (0.6667, 0.3333, 0.0000).

Its formation energy is 265 meV/atom. Its energy above the lowest structure with this stoichiometry is 0.1216 eV/atom. The value obtained for the total energy is -0.474 Ry/atom.

---

No. 8
Here is a geometry-optimized ScTlBiI2 structure from the Alexandria database. Energies are from PBE.

It has space group P4/mmm (No. 123), with a = 6.008 Å, b = 6.008 Å, c = 5.774 Å, α = 90.00°, β = 90.00° and γ = 90.00°. Symmetry generates all atoms from Sc at (0.000, 0.000, 0.000), Tl at (0.000, 0.000, 0.500), Bi at (0.500, 0.500, 0.000) and I at (0.000, 0.500, 0.500).

Its uncorrected formation energy is 0.50 eV per atom. The value obtained for the total energy is -0.194 Ry/atom.

---

No. 9
Here is a geometry-optimized AcPmEr2 structure from the Alexandria database. Energies are from PBE.

It has space group P4/mmm (No. 123), with a = 5.242 Å, b = 5.242 Å, c = 5.046 Å, α = 90.00°, β = 90.00° and γ = 90.00°. Symmetry generates all atoms from Ac at (0.000, 0.000, 0.000), Pm at (0.500, 0.500, 0.000) and Er at (0.000, 0.500, 0.500).

Its formation energy is 54 meV/atom. Its energy above the lowest structure with this stoichiometry is 0.0025 eV/atom. The value obtained for the total energy is -0.327 Ry/atom.

---

No. 10
Here is a geometry-optimized RbTl7Hg2 structure from the Alexandria database. Energies are from PBE.

It has space group Cmmm (No. 65), with a = 9.304 Å, b = 17.094 Å, c = 5.049 Å, α = 90.00°, β = 90.00° and γ = 90.00°. Symmetry generates all atoms from Rb at (0.000, 0.000, 0.000), Tl at (0.000, 0.222, 0.000), Tl at (0.000, 0.500, 0.500), Tl at (0.191, 0.144, 0.500) and Hg at (0.000, 0.319, 0.500).

Its formation energy is 125 meV/atom. The value obtained for the total energy is -0.124 Ry/atom.

---

No. 11
Here is a geometry-optimized CaPPt structure from the Alexandria database. Energies are from PBE.

It has space group F-43m (No. 216), with a = 6.210 Å, b = 6.210 Å, c = 6.210 Å, α = 90.00°, β = 90.00° and γ = 90.00°. Symmetry generates all atoms from Ca at (0.000, 0.000, 0.000), P at (0.250, 0.250, 0.750) and Pt at (0.000, 0.000, 0.500).

Its formation energy is -651 meV/atom. The value obtained for the total energy is -0.377 Ry/atom.

---

No. 12
Here is a geometry-optimized SrNdGa2Rh2 structure from the Alexandria database. Energies are from PBE.

It has space group P-3m1 (No. 164), with a = 4.3369 Å, b = 4.3369 Å, c = 8.3791 Å, α = 90.00°, β = 90.00° and γ = 120.00°. Symmetry generates all atoms from Sr at (0.0000, 0.0000, 0.0000), Nd at (0.0000, 0.0000, 0.5000), Ga at (0.3333, 0.6667, 0.2644) and Rh at (0.3333, 0.6667, 0.7160).

Its formation energy is -680 meV/atom. The value obtained for the total energy is -0.383 Ry/atom.

---

No. 13
Here is a geometry-optimized HfPbNF2 structure from the Alexandria database. Energies are from PBE.

It has space group P4/mmm (No. 123), with a = 4.488 Å, b = 4.488 Å, c = 4.552 Å, α = 90.00°, β = 90.00° and γ = 90.00°. Symmetry generates all atoms from Hf at (0.000, 0.000, 0.000), Pb at (0.500, 0.500, 0.500), N at (0.500, 0.500, 0.000) and F at (0.000, 0.500, 0.500).

Its uncorrected formation energy is -0.05 eV per atom. Its energy above the lowest structure with this stoichiometry is 1.6717 eV/atom. The value obtained for the total energy is -0.382 Ry/atom.

---

No. 14
Here is a geometry-optimized CaMn3Br structure from the Alexandria database. Energies are from PBE.

It has space group Pm-3m (No. 221), with a = 5.794 Å, b = 5.794 Å, c = 5.794 Å, α = 90.00°, β = 90.00° and γ = 90.00°. Symmetry generates all atoms from Ca at (0.000, 0.000, 0.000), Mn at (0.000, 0.000, 0.500) and Br at (0.500, 0.500, 0.500).

Its uncorrected formation energy is 1.57 eV per atom. Its energy above the lowest structure with this stoichiometry is 0.7794 eV/atom. The value obtained for the total energy is -0.343 Ry/atom.

---

No. 15
Here is a geometry-optimized ScFeCu structure from the Alexandria database. Energies are from PBE.

It has space group P3m1 (No. 156), with a = 2.9103 Å, b = 2.9103 Å, c = 6.3801 Å, α = 90.00°, β = 90.00° and γ = 120.00°. Symmetry generates all atoms from Sc at (0.0000, 0.0000, 0.0000), Fe at (0.3333, 0.6667, 0.6615) and Cu at (0.6667, 0.3333, 0.3564).

Its formation energy is 277 meV/atom. The value obtained for the total energy is -0.442 Ry/atom.

---

No. 16
Here is a geometry-optimized RbSrH6Au2 structure from the Alexandria database. Energies are from PBE.

It has space group C2/c (No. 15), with a = 9.637 Å, b = 9.675 Å, c = 6.754 Å, α = 90.00°, β = 94.42° and γ = 90.00°. Symmetry generates all atoms from Rb at (0.000, 0.124, 0.250), Sr at (0.000, 0.384, 0.750), H at (0.063, 0.389, 0.106), H at (0.091, 0.144, 0.844), H at (0.237, 0.480, 0.371) and Au at (0.239, 0.383, 0.131).

The value obtained for the total energy is -0.229 Ry/atom.

---

No. 17
Here is a geometry-optimized LaZn3P3 structure from the Alexandria database. Energies are from PBE.

It has space group P6_3/m (No. 176), with a = 9.6097 Å, b = 9.6097 Å, c = 3.9985 Å, α = 90.00°, β = 90.00° and γ = 120.00°. Symmetry generates all atoms from La at (0.3333, 0.6667, 0.2500), Zn at (0.0423, 0.6750, 0.7500) and P at (0.1091, 0.4195, 0.7500).

Its formation energy is -600 meV/atom. Its energy above the lowest structure with this stoichiometry is 0.0189 eV/atom. The value obtained for the total energy is -0.306 Ry/atom.

---

No. 18
Here is a geometry-optimized P2PtPbO structure from the Alexandria database. Energies are from PBE.

It has space group P4/mmm (No. 123), with a = 5.015 Å, b = 5.015 Å, c = 3.860 Å, α = 90.00°, β = 90.00° and γ = 90.00°. Symmetry generates all atoms from P at (0.000, 0.500, 0.000), Pt at (0.000, 0.000, 0.000), Pb at (0.500, 0.500, 0.500) and O at (0.000, 0.000, 0.500).

Its uncorrected formation energy is 0.26 eV per atom. Its energy above the lowest structure with this stoichiometry is 0.0000 eV/atom. The value obtained for the total energy is -0.356 Ry/atom.

---

No. 19
Here is a geometry-optimized Dy2TmScS4 structure from the Alexandria database. Energies are from PBE.

It has space group P2/m (No. 10), with a = 6.637 Å, b = 3.808 Å, c = 6.702 Å, α = 90.00°, β = 109.08° and γ = 90.00°. Symmetry generates all atoms from Dy at (0.000, 0.000, 0.000), Dy at (0.500, 0.500, 0.000), Tm at (0.000, 0.500, 0.500), Sc at (0.500, 0.000, 0.500), S at (0.251, 0.000, 0.741) and S at (0.259, 0.500, 0.263).

Its uncorrected formation energy is -1.94 eV per atom. The value obtained for the total energy is -0.478 Ry/atom.

---

No. 20
Here is a geometry-optimized LaNiAsH2 structure from the Alexandria database. Energies are from PBE.

It has space group Cmcm (No. 63), with a = 4.007 Å, b = 10.554 Å, c = 6.353 Å, α = 90.00°, β = 90.00° and γ = 90.00°. Symmetry generates all atoms from La at (0.000, 0.213, 0.250), Ni at (0.000, 0.500, 0.000), As at (0.000, 0.063, 0.750) and H at (0.000, 0.352, 0.557).

The value obtained for the total energy is -0.371 Ry/atom.